(w)
Entry from Alexandria: crystalline Ce2Cu2Si3 at its relaxed geometry (PBE).

```
Ce2Cu2Si3
1.0
4.188 0.000 -0.998
0.000 6.615 0.000
-0.019 0.000 9.202
Ce Cu Si
4 4 6
direct
0.159 0.250 0.317
0.841 0.750 0.683
0.950 0.250 0.899
0.050 0.750 0.101
0.687 0.938 0.373
0.313 0.062 0.627
0.313 0.438 0.627
0.687 0.562 0.373
0.221 0.750 0.443
0.779 0.250 0.557
0.561 0.429 0.121
0.439 0.571 0.879
0.439 0.929 0.879
0.561 0.071 0.121
```

Computed properties:
**Symmetry**: No. 63

---

(x)
Entry from Alexandria: crystalline Ce2Cu2Si3 at its relaxed geometry (PBE).

```
Ce2Cu2Si3
1.0
4.143 0.000 0.000
-2.071 4.955 0.019
0.000 -2.256 6.105
Ce Cu Si
2 2 3
direct
0.852 0.704 0.211
0.148 0.296 0.789
0.842 0.684 0.707
0.158 0.316 0.293
0.500 0.000 0.000
0.596 0.193 0.434
0.404 0.807 0.566
```

Computed properties:
**Symmetry**: No. 12

---

(w) is favored, and the nearest alternative lies 0.124 eV/atom above it.

---

(w)
Entry from Alexandria: crystalline Ce2SmCu at its relaxed geometry (PBE).

```
Ce2SmCu
1.0
-0.582 3.309 -1.333
-3.540 -0.368 0.632
1.000 3.178 7.449
Cu Ce Sm
1 2 1
direct
0.500 0.500 0.000
0.000 0.000 0.810
0.000 0.000 0.190
0.500 0.500 0.500
```

Computed properties:
**Symmetry**: No. 123

---

(x)
Entry from Alexandria: crystalline Ce2SmCu at its relaxed geometry (PBE).

```
Ce2SmCu
1.0
5.222 0.000 0.000
2.611 4.523 0.000
2.611 1.508 4.263
Cu Ce Sm
1 2 1
direct
0.000 0.000 0.000
0.250 0.250 0.250
0.750 0.750 0.750
0.500 0.500 0.500
```

Computed properties:
**Symmetry**: No. 225

---

(w) is favored, and the nearest alternative lies 0.211 eV/atom above it.

---

(w)
Entry from Alexandria: crystalline CeCuSn2 at its relaxed geometry (PBE).

```
CeCuSn2
1.0
-0.661 1.170 -4.416
2.546 -3.610 -1.338
-8.012 -3.677 2.638
Ce Cu Sn
2 2 4
direct
0.132 0.132 0.264
0.868 0.868 0.736
0.250 0.750 0.500
0.750 0.250 0.500
0.000 0.500 0.000
0.500 0.000 0.000
0.341 0.341 0.682
0.659 0.659 0.318
```

Computed properties:
**Symmetry**: No. 139

---

(x)
Entry from Alexandria: crystalline CeCuSn2 at its relaxed geometry (PBE).

```
CeCuSn2
1.0
-1.764 0.587 2.672
0.022 -2.126 2.464
7.624 4.558 6.014
Cu Sn Ce
1 2 1
direct
0.500 0.500 0.500
0.102 0.102 0.693
0.898 0.898 0.307
0.000 0.000 0.000
```

Computed properties:
**Symmetry**: No. 166

---

(w) is favored, and the nearest alternative lies 0.591 eV/atom above it.